The following is a PBE-GGA calculation of a geometry-optimized ErSc5Bi6 structure, from the Alexandria database.

Results
As for the space group: C2/m. For the density of states at the Fermi level, the calculation gives 0.218 states/eV per atom. The formation energy is -0.68 eV per atom.

abc: 7.443 7.443 7.447
angles: 99.61 99.61 120.02
Atoms (fractional coordinates):
Er1 0.000 0.000 0.000
Sc1 0.163 0.837 0.500
Sc2 0.332 0.668 0.000
Sc3 0.500 0.500 0.500
Sc4 0.668 0.332 0.000
Sc5 0.837 0.163 0.500
Bi1 0.086 0.426 0.256
Bi2 0.257 0.257 0.748
Bi3 0.426 0.086 0.256
Bi4 0.574 0.914 0.744
Bi5 0.743 0.743 0.252
Bi6 0.914 0.574 0.744